[1]
First-principles (PBE) data for an optimized crystal structure of U2TcGeC, as listed in Alexandria.

## Properties
The calculation puts the formation energy at -2.87 kcal/mol of atoms. The value obtained for the total energy is -9.4812 eV/atom. Its spin magnetization is 2.522 μB per formula unit.

Unit cell a=3.414 b=7.074 c=8.580 alpha=117.91 beta=90.00 gamma=90.00
Site moments in Bohr magnetons follow the coordinates.
Sites, in units of the cell vectors:
U1 0.750 0.770 0.590  1.08
U2 0.750 0.783 0.004  1.43
U3 0.250 0.230 0.410  1.08
U4 0.250 0.217 0.996  1.43
Tc1 0.250 0.507 0.718  -0.12
Tc2 0.750 0.493 0.282  -0.12
Ge1 0.250 0.762 0.280  -0.03
Ge2 0.750 0.238 0.720  -0.03
C1 0.250 0.850 0.813  -0.06
C2 0.750 0.150 0.187  -0.06


[2]
First-principles (PBE) data for an optimized crystal structure of Er2Ga9Fe3, as listed in Alexandria.

## Properties
The calculation puts the formation energy at -8.44 kcal/mol of atoms. The value obtained for the total energy is -4.7769 eV/atom. Its spin magnetization is 0.222 μB per formula unit.

Unit cell a=7.354 b=7.354 c=10.439 alpha=89.75 beta=110.68 gamma=120.32
Site moments in Bohr magnetons follow the coordinates.
Sites, in units of the cell vectors:
Er1 0.337 0.249 0.750  0.01
Er2 0.663 0.751 0.250  0.01
Er3 0.999 0.586 0.750  0.01
Er4 0.001 0.414 0.250  0.01
Ga1 0.453 0.918 0.749  0.00
Ga2 0.547 0.082 0.251  0.00
Ga3 0.669 0.704 0.751  0.00
Ga4 0.331 0.296 0.249  0.00
Ga5 0.456 0.646 0.929  0.00
Ga6 0.544 0.354 0.071  0.00
Ga7 0.217 0.527 0.571  0.00
Ga8 0.783 0.473 0.429  0.00
Ga9 0.887 0.137 0.750  0.02
Ga10 0.113 0.863 0.250  0.02
Ga11 0.124 0.982 0.940  0.01
Ga12 0.876 0.018 0.060  0.01
Ga13 0.542 0.184 0.560  0.01
Ga14 0.458 0.816 0.440  0.01
Ga15 0.877 0.859 0.570  0.00
Ga16 0.123 0.141 0.430  0.00
Ga17 0.789 0.307 0.930  0.00
Ga18 0.211 0.693 0.070  0.00
Fe1 0.500 0.000 0.000  1.27
Fe2 0.500 0.500 0.500  1.27
Fe3 0.847 0.174 0.499  -0.78
Fe4 0.153 0.826 0.501  -0.78
Fe5 0.175 0.348 0.001  -0.78
Fe6 0.825 0.652 0.999  -0.78


[3]
First-principles (PBE) data for an optimized crystal structure of AlZnAgF6, as listed in Alexandria.

## Properties
The value obtained for the total energy is -4.6917 eV/atom. Its spin magnetization is 0.057 μB per formula unit. The value obtained for the uncorrected formation energy is -2570 meV per atom.

Unit cell a=5.257 b=5.257 c=10.436 alpha=90.00 beta=90.00 gamma=120.00
Sites, in units of the cell vectors:
Al1 0.667 0.333 0.250
Al2 0.333 0.667 0.750
Zn1 0.333 0.667 0.250
Zn2 0.667 0.333 0.750
Ag1 0.000 0.000 0.000
Ag2 0.000 0.000 0.500
F1 0.642 0.609 0.151
F2 0.967 0.358 0.151
F3 0.358 0.967 0.651
F4 0.033 0.642 0.849
F5 0.391 0.358 0.349
F6 0.967 0.609 0.349
F7 0.609 0.967 0.849
F8 0.642 0.033 0.349
F9 0.033 0.391 0.651
F10 0.391 0.033 0.151
F11 0.609 0.642 0.651
F12 0.358 0.391 0.849


[4]
First-principles (PBE) data for an optimized crystal structure of KTlH3, as listed in Alexandria.

## Properties
The distance to the lowest polymorph of the same formula is 568 meV per atom. The value obtained for the total energy is -2.0076 eV/atom. Its spin magnetization is 1.000 μB per formula unit.

Unit cell a=4.744 b=4.744 c=4.744 alpha=90.00 beta=90.00 gamma=90.00
Site moments in Bohr magnetons follow the coordinates.
Sites, in units of the cell vectors:
H1 0.000 0.500 0.000  0.12
H2 0.000 0.000 0.500  0.13
H3 0.500 0.000 0.000  0.17
Tl1 0.500 0.500 0.500  0.01
K1 0.000 0.000 0.000  0.04


[5]
First-principles (PBE) data for an optimized crystal structure of Li3LaTb2Se6, as listed in Alexandria.

## Properties
The value obtained for the total energy is -5.1062 eV/atom. Its spin magnetization is 0.000 μB per formula unit. The value obtained for the uncorrected formation energy is -1703 meV per atom.

Unit cell a=7.212 b=7.212 c=6.927 alpha=99.92 beta=99.92 gamma=120.04
Sites, in units of the cell vectors:
Li1 0.171 0.829 0.500
Li2 0.829 0.171 0.500
Li3 0.500 0.500 0.500
La1 0.000 0.000 0.000
Tb1 0.334 0.666 0.000
Tb2 0.666 0.334 0.000
Se1 0.916 0.571 0.745
Se2 0.741 0.741 0.258
Se3 0.084 0.429 0.255
Se4 0.571 0.916 0.745
Se5 0.259 0.259 0.742
Se6 0.429 0.084 0.255


[6]
First-principles (PBE) data for an optimized crystal structure of MnFe2W, as listed in Alexandria.

## Properties
The distance to the lowest polymorph of the same formula is 113 meV per atom. The calculation puts the formation energy at 3.58 kcal/mol of atoms. The value obtained for the total energy is -9.6067 eV/atom. Its spin magnetization is 0.390 μB per formula unit.

Unit cell a=4.481 b=4.481 c=2.611 alpha=90.00 beta=90.00 gamma=109.38
Site moments in Bohr magnetons follow the coordinates.
Sites, in units of the cell vectors:
Fe1 0.000 0.000 0.000  1.18
Fe2 0.500 0.500 0.000  1.18
Mn1 0.500 0.000 0.500  -1.87
W1 0.000 0.500 0.500  -0.07


[7]
First-principles (PBE) data for an optimized crystal structure of Ti2Be9Pt, as listed in Alexandria.

## Properties
The calculation puts the formation energy at -5.06 kcal/mol of atoms. The value obtained for the total energy is -4.8334 eV/atom. Its spin magnetization is 1.810 μB per formula unit.

Unit cell a=4.417 b=4.417 c=7.550 alpha=72.99 beta=72.99 gamma=60.00
Site moments in Bohr magnetons follow the coordinates.
Sites, in units of the cell vectors:
Ti1 0.852 0.852 0.443  0.71
Ti2 0.148 0.148 0.557  0.71
Be1 0.665 0.665 0.004  0.00
Be2 0.335 0.335 0.996  0.00
Be3 0.500 0.500 0.500  -0.02
Be4 0.419 0.419 0.245  0.01
Be5 0.916 0.419 0.245  0.01
Be6 0.419 0.916 0.245  0.01
Be7 0.581 0.581 0.755  0.01
Be8 0.581 0.084 0.755  0.01
Be9 0.084 0.581 0.755  0.01
Pt1 0.000 0.000 0.000  0.01


[8]
First-principles (PBE) data for an optimized crystal structure of Mg4Zn3Au, as listed in Alexandria.

## Properties
The calculation puts the formation energy at -5.13 kcal/mol of atoms. The value obtained for the total energy is -1.9073 eV/atom. Its spin magnetization is 0.000 μB per formula unit.

Unit cell a=4.677 b=4.677 c=8.034 alpha=73.08 beta=73.08 gamma=60.00
Sites, in units of the cell vectors:
Mg1 0.877 0.877 0.370
Mg2 0.374 0.374 0.879
Mg3 0.123 0.123 0.630
Mg4 0.626 0.626 0.121
Au1 0.000 0.000 0.000
Zn1 0.246 0.246 0.262
Zn2 0.754 0.754 0.738
Zn3 0.500 0.500 0.500


[9]
First-principles (PBE) data for an optimized crystal structure of Ce2SnTe, as listed in Alexandria.

## Properties
The distance to the lowest polymorph of the same formula is 18 meV per atom. The value obtained for the total energy is -5.7124 eV/atom. Its spin magnetization is 1.672 μB per formula unit. The value obtained for the uncorrected formation energy is -959 meV per atom.

Unit cell a=4.526 b=4.526 c=7.746 alpha=73.01 beta=73.01 gamma=60.00
Site moments in Bohr magnetons follow the coordinates.
Sites, in units of the cell vectors:
Te1 0.500 0.500 0.500  -0.02
Sn1 0.000 0.000 0.000  -0.04
Ce1 0.252 0.252 0.245  0.77
Ce2 0.748 0.748 0.755  0.77


[10]
First-principles (PBE) data for an optimized crystal structure of Sr3NpO8, as listed in Alexandria.

## Properties
The value obtained for the total energy is -7.0510 eV/atom. Its spin magnetization is 3.016 μB per formula unit. The value obtained for the uncorrected formation energy is -2247 meV per atom.

Unit cell a=5.669 b=5.669 c=6.957 alpha=114.04 beta=114.04 gamma=90.00
Site moments in Bohr magnetons follow the coordinates.
Sites, in units of the cell vectors:
Sr1 0.750 0.250 0.500  0.00
Sr2 0.500 0.500 0.000  0.00
Sr3 0.250 0.750 0.500  0.00
Np1 0.000 0.000 0.000  -0.53
O1 0.329 0.329 0.221  0.37
O2 0.329 0.892 0.221  0.37
O3 0.108 0.671 0.779  0.37
O4 0.108 0.108 0.779  0.37
O5 0.892 0.892 0.221  0.37
O6 0.892 0.329 0.221  0.37
O7 0.671 0.108 0.779  0.37
O8 0.671 0.671 0.779  0.37


[11]
First-principles (PBE) data for an optimized crystal structure of BaPdC3, as listed in Alexandria.

## Properties
The distance to the lowest polymorph of the same formula is 0 meV per atom. The calculation puts the formation energy at 46.28 kcal/mol of atoms. The value obtained for the total energy is -4.9506 eV/atom. Its spin magnetization is 4.291 μB per formula unit.

Unit cell a=4.279 b=4.279 c=4.279 alpha=90.00 beta=90.00 gamma=90.00
Site moments in Bohr magnetons follow the coordinates.
Sites, in units of the cell vectors:
C1 0.000 0.500 0.000  0.59
C2 0.000 0.000 0.500  0.71
C3 0.500 0.000 0.000  0.58
Ba1 0.500 0.500 0.500  0.17
Pd1 0.000 0.000 0.000  0.41


[12]
First-principles (PBE) data for an optimized crystal structure of CeCuPdPb, as listed in Alexandria.

## Properties
The calculation puts the formation energy at -9.16 kcal/mol of atoms. The value obtained for the total energy is -5.1298 eV/atom. Its spin magnetization is 0.527 μB per formula unit.

Unit cell a=4.904 b=4.904 c=4.904 alpha=60.00 beta=60.00 gamma=60.00
Site moments in Bohr magnetons follow the coordinates.
Sites, in units of the cell vectors:
Pb1 0.000 0.000 0.000  0.00
Cu1 0.250 0.250 0.250  -0.01
Pd1 0.750 0.750 0.750  -0.02
Ce1 0.500 0.500 0.500  0.51


Question: spin magnetization of number 12 (CeCuPdPb)?
Answer: 0.527 μB per formula unit


Question: What is the spin magnetization in the fifth record?
Answer: 0.000 μB per formula unit


Question: What is the formula in the eighth record?
Answer: Mg4Zn3Au